NbVRh2C | PBE | optimized geometry

Structure (CIF):
```
data_NbVRh2C
_space_group_name_H-M_alt 'P 4/m m m'
_space_group_IT_number 123
_space_group_name_Hall '-P 4 2'
_cell_length_a 4.0014
_cell_length_b 4.0014
_cell_length_c 4.3220
_cell_angle_alpha 90.00
_cell_angle_beta 90.00
_cell_angle_gamma 90.00
loop_
_atom_site_label
_atom_site_type_symbol
_atom_site_fract_x
_atom_site_fract_y
_atom_site_fract_z
Nb1 Nb 0.0000 0.0000 0.0000
V1 V 0.5000 0.5000 0.0000
Rh1 Rh 0.0000 0.5000 0.5000
C1 C 0.0000 0.0000 0.5000
```

Summary:
Its formation energy is 0.00 eV per atom. The calculation puts the total moment at 0.00 μB per cell. The uncorrected energy comes out at -8.623 eV per atom.